1.
A relaxed Tl4AuSe3 crystal, computed with PBE.

Output
Formation energy from raw total energies   -0.236 eV per atom
DFT total energy   -3.14 eV per atom
ρ   9.21 Mg/m³
ΔE to the lowest computed polymorph   0 meV/atom

Cell: 17.8025 5.6653 12.5858 Å, 90.00 134.67 90.00°
With the nearest neighbours (Å) after each atom.
Space group C2/m (No. 12)
One atom of each set of equivalent atoms:
Tl 0.0661 0.0000 0.3214  3 Se 3.09-3.26, 1 Tl 3.40
Tl 0.1049 0.5000 0.8162  6 Se 3.32-3.51, 3 Tl 3.40-3.59
Tl 0.2096 0.5000 0.6037  6 Se 3.31-3.53, 3 Tl 3.40-3.60
Tl 0.2432 0.0000 0.8103  3 Se 3.09-3.28, 1 Tl 3.40
Au 0.0000 0.2501 0.0000  4 Se 2.80, 2 Au 2.83
Se 0.0000 0.2394 0.5000  2 Se 2.71-2.95
Se 0.1277 0.5000 0.2697  2 Au 2.80, 1 Tl 3.09
Se 0.1424 0.0000 0.0138  2 Au 2.80, 1 Tl 3.09

2.
A relaxed Tl2AuSe crystal, computed with PBE.

Output
Formation energy from raw total energies   -0.070 eV per atom
DFT total energy   -2.94 eV per atom
ρ   8.13 Mg/m³
ΔE to the lowest computed polymorph   73 meV/atom

Cell: 7.0794 7.0794 11.1672 Å, 90.00 90.00 90.00°
With the nearest neighbours (Å) after each atom.
Space group I-42d (No. 122)
One atom of each set of equivalent atoms:
Tl 0.2440 0.2500 0.1250  2 Au 2.84, 2 Se 2.89
Au 0.0000 0.0000 0.0000  4 Tl 2.84
Se 0.0000 0.0000 0.5000  4 Tl 2.89

3.
A relaxed Tl2AuSe crystal, computed with PBE.

Output
Formation energy from raw total energies   -0.122 eV per atom
DFT total energy   -3.00 eV per atom
ρ   9.91 Mg/m³
ΔE to the lowest computed polymorph   21 meV/atom

Cell: 7.4955 4.3301 7.4940 Å, 90.00 109.41 90.00°
With the nearest neighbours (Å) after each atom.
Space group Cm (No. 8)
One atom of each set of equivalent atoms:
Tl 0.0000 0.0000 0.0000  3 Au 2.92
Tl 0.2131 0.0000 0.6393  3 Se 3.09-3.10
Au 0.2382 0.5000 0.2137  3 Se 2.76-2.77, 3 Tl 2.92
Se 0.4611 0.0000 0.3810  3 Au 2.76-2.77

4.
A relaxed Tl2AuSe crystal, computed with PBE.

Output
Formation energy from raw total energies   -0.126 eV per atom
DFT total energy   -3.00 eV per atom
ρ   10.31 Mg/m³
ΔE to the lowest computed polymorph   17 meV/atom

Cell: 4.1498 4.1498 22.1847 Å, 90.00 90.00 120.00°
With the nearest neighbours (Å) after each atom.
Space group R3m (No. 160, hexagonal axes)
One atom of each set of equivalent atoms:
Tl 0.0000 0.0000 0.0000  3 Au 2.97, 3 Se 3.02
Tl 0.0000 0.0000 0.1709  3 Au 3.02, 3 Se 3.09
Au 0.0000 0.0000 0.5873  6 Tl 2.97-3.02
Se 0.0000 0.0000 0.4161  6 Tl 3.02-3.09

5.
A relaxed Tl2AuSe crystal, computed with PBE.

Output
Formation energy from raw total energies   0.049 eV per atom
DFT total energy   -2.82 eV per atom
ρ   10.93 Mg/m³
ΔE to the lowest computed polymorph   192 meV/atom

Cell: 4.7197 4.7197 9.3435 Å, 90.00 90.00 90.00°
With the nearest neighbours (Å) after each atom.
Space group I-4m2 (No. 119)
One atom of each set of equivalent atoms:
Tl 0.0000 0.0000 0.0000  4 Tl 3.32, 4 Au 3.32, 4 Se 3.34
Tl 0.0000 0.5000 0.2500  4 Tl 3.32, 4 Se 3.32, 4 Au 3.34
Au 0.0000 0.5000 0.7500  4 Se 3.32, 8 Tl 3.32-3.34
Se 0.0000 0.0000 0.5000  8 Tl 3.32-3.34, 4 Au 3.32

6.
A relaxed TlAu2Se crystal, computed with PBE.

Output
Formation energy from raw total energies   0.082 eV per atom
DFT total energy   -3.02 eV per atom
ρ   11.87 Mg/m³

Cell: 4.1059 4.1059 5.6193 Å, 90.00 90.00 90.00°
With the nearest neighbours (Å) after each atom.
Space group P4mm (No. 99)
One atom of each set of equivalent atoms:
Tl 0.0000 0.0000 0.0000  2 Au 2.81, 4 Se 2.90
Au 0.0000 0.0000 0.4998  2 Tl 2.81, 4 Au 2.90
Au 0.5000 0.5000 0.4994  2 Se 2.81, 4 Au 2.90
Se 0.5000 0.5000 0.9989  2 Au 2.81, 4 Tl 2.90

7.
A relaxed Tl2AuSe2 crystal, computed with PBE.

Output
Formation energy from raw total energies   -0.026 eV per atom
DFT total energy   -3.02 eV per atom
ρ   9.25 Mg/m³

Cell: 3.9330 3.9330 17.7179 Å, 90.00 90.00 90.00°
With the nearest neighbours (Å) after each atom.
Space group I4/mmm (No. 139)
One atom of each set of equivalent atoms:
Tl 0.0000 0.0000 0.0968  4 Au 3.27, 4 Se 3.35, 1 Tl 3.43
Au 0.0000 0.0000 0.5000  8 Tl 3.27
Se 0.0000 0.5000 0.2500  4 Se 2.78

8.
A relaxed Tl3AuSe crystal, computed with PBE.

Output
Formation energy from raw total energies   0.015 eV per atom
DFT total energy   -2.76 eV per atom
ρ   8.83 Mg/m³
ΔE to the lowest computed polymorph   0 meV/atom

Cell: 5.5090 5.5090 5.5090 Å, 90.00 90.00 90.00°
With the nearest neighbours (Å) after each atom.
Space group Pm-3m (No. 221)
One atom of each set of equivalent atoms:
Tl 0.0000 0.0000 0.5000  2 Au 2.75
Au 0.0000 0.0000 0.0000  6 Tl 2.75
Se 0.5000 0.5000 0.5000  12 Tl 3.90

9.
A relaxed Tl2Au2Se3 crystal, computed with PBE.

Output
Formation energy from raw total energies   -0.151 eV per atom
DFT total energy   -3.26 eV per atom
ρ   9.32 Mg/m³

Cell: 6.8064 6.9900 8.6917 Å, 90.00 116.32 90.00°
With the nearest neighbours (Å) after each atom.
Space group P2_1/c (No. 14)
One atom of each set of equivalent atoms:
Tl 0.1908 0.1361 0.3765  5 Se 3.09-3.43, 2 Au 3.09-3.18
Au 0.3414 0.7228 0.5389  3 Se 2.50-2.69
Se 0.0000 0.0000 0.0000  2 Au 2.69
Se 0.3174 0.5731 0.2660  2 Au 2.50-2.53

10.
A relaxed TmTlAuSe2 crystal, computed with PBE.

Output
Formation energy from raw total energies   -0.796 eV per atom
DFT total energy   -4.21 eV per atom
ρ   8.30 Mg/m³

Cell: 7.6945 5.1129 7.5658 Å, 90.00 101.93 90.00°
With the nearest neighbours (Å) after each atom.
Space group P2/c (No. 13)
One atom of each set of equivalent atoms:
Tm 0.0000 0.0047 0.2500  4 Se 2.78-2.79
Tl 0.5000 0.3267 0.7500  6 Se 3.27-3.45
Au 0.0000 0.5000 0.0000  2 Se 2.61
Se 0.2517 0.1502 0.0511  1 Au 2.61, 2 Tm 2.78-2.79

11.
A relaxed U2TlAu2Se6 crystal, computed with PBE.

Output
Formation energy from raw total energies   -0.668 eV per atom
DFT total energy   -5.43 eV per atom
ρ   7.76 Mg/m³

Cell: 7.4645 7.5775 7.7749 Å, 64.60 63.51 60.93°
With the nearest neighbours (Å) after each atom.
Space group P-1 (No. 2)
One atom of each set of equivalent atoms:
U 0.1686 0.1623 0.0047  6 Se 2.79-2.86
Tl 0.5000 0.5000 0.0000  6 Se 3.13-3.26
Au 0.0375 0.8150 0.4359  3 Se 2.52-2.62
Se 0.0450 0.4402 0.2269  1 Au 2.52
Se 0.2124 0.9239 0.7769  1 Au 2.55, 1 U 2.82
Se 0.4275 0.8130 0.2302  1 Au 2.62, 2 U 2.79-2.81

12.
A relaxed UTl2Au2Se6 crystal, computed with PBE.

Output
Formation energy from raw total energies   -0.330 eV per atom
DFT total energy   -4.28 eV per atom
ρ   7.70 Mg/m³

Cell: 7.4949 7.4949 6.7180 Å, 90.00 90.00 120.00°
With the nearest neighbours (Å) after each atom.
Space group P-3 (No. 147)
One atom of each set of equivalent atoms:
U 0.0000 0.0000 0.0000  6 Se 2.72
Tl 0.3333 0.6667 0.2266  3 Se 3.05, 1 Au 3.05
Au 0.3333 0.6667 0.7728  3 Se 2.52
Se 0.0519 0.2963 0.7351  1 Au 2.52, 1 U 2.72

13.
A relaxed UTlAuSe4 crystal, computed with PBE.

Output
Formation energy from raw total energies   -0.589 eV per atom
DFT total energy   -5.00 eV per atom
ρ   8.51 Mg/m³

Cell: 7.3052 5.6935 9.6254 Å, 90.00 111.37 90.00°
With the nearest neighbours (Å) after each atom.
Space group P2_1/m (No. 11)
One atom of each set of equivalent atoms:
U 0.2244 0.2500 0.4474  8 Se 2.77-3.04
Tl 0.3137 0.7500 0.0645  4 Se 3.21-3.45, 2 Au 3.53
Au 0.4553 0.7500 0.7284  3 Se 2.48-2.63
Se 0.1459 0.0125 0.6954  1 Au 2.63, 1 Se 2.70
Se 0.1815 0.2500 0.1492  1 Au 2.48, 1 U 2.77
Se 0.3521 0.7500 0.4198  1 Au 2.78, 3 U 2.88-3.04

14.
A relaxed UTl2Au2Se4 crystal, computed with PBE.

Output
Formation energy from raw total energies   -0.532 eV per atom
DFT total energy   -4.59 eV per atom
ρ   9.29 Mg/m³

Cell: 15.1934 4.1863 8.1181 Å, 90.00 110.11 90.00°
With the nearest neighbours (Å) after each atom.
Space group C2/m (No. 12)
One atom of each set of equivalent atoms:
U 0.0000 0.0000 0.0000  6 Se 2.85-2.88
Tl 0.1374 0.0000 0.5910  7 Se 3.28-3.62, 3 Au 3.63-3.67
Au 0.1783 0.5000 0.9818  4 Se 2.60-2.86
Se 0.0076 0.5000 0.7609  1 Au 2.60, 2 U 2.88
Se 0.1938 0.0000 0.2077  3 Au 2.74-2.86, 1 U 2.85

15.
A relaxed UTl2AuSe4 crystal, computed with PBE.

Output
Formation energy from raw total energies   -0.460 eV per atom
DFT total energy   -4.61 eV per atom
ρ   8.73 Mg/m³

Cell: 7.9840 7.9840 6.9227 Å, 90.00 90.00 90.00°
With the nearest neighbours (Å) after each atom.
Space group I-42m (No. 121)
One atom of each set of equivalent atoms:
U 0.0000 0.0000 0.0000  4 Se 2.70
Tl 0.0000 0.5000 0.0000  8 Se 3.38-3.42, 2 Tl 3.46
Au 0.0000 0.0000 0.5000  4 Se 2.65
Se 0.1803 0.1803 0.7444  1 Au 2.65, 1 U 2.70

16.
A relaxed U3Tl3AuSe8 crystal, computed with PBE.

Output
Formation energy from raw total energies   -0.775 eV per atom
DFT total energy   -5.58 eV per atom
ρ   7.85 Mg/m³

Cell: 13.5657 8.6407 8.8435 Å, 90.00 118.41 90.00°
With the nearest neighbours (Å) after each atom.
Space group C2/m (No. 12)
One atom of each set of equivalent atoms:
U 0.0000 0.0000 0.0000  6 Se 2.81-2.85
U 0.2500 0.2500 0.0000  6 Se 2.77-2.89
Tl 0.0000 0.5000 0.5000  6 Se 3.25-3.40
Tl 0.2500 0.2500 0.5000  6 Se 3.31-3.37
Au 0.0000 0.5000 0.0000  2 Se 2.55
Se 0.0232 0.2142 0.7796  2 U 2.77-2.81
Se 0.2128 0.5000 0.1848  1 Au 2.55
Se 0.2378 0.0000 0.2080  3 U 2.85-2.89

17.
A relaxed UTl3Au2Se6 crystal, computed with PBE.

Output
Formation energy from raw total energies   -0.349 eV per atom
DFT total energy   -4.17 eV per atom
ρ   6.19 Mg/m³

Cell: 7.8558 7.8558 8.6318 Å, 90.00 90.00 120.00°
With the nearest neighbours (Å) after each atom.
Space group P-3m1 (No. 164)
One atom of each set of equivalent atoms:
U 0.0000 0.0000 0.0000  6 Se 2.70
Tl 0.0000 0.0000 0.5000  6 Se 3.28
Tl 0.3333 0.6667 0.1679  1 Au 2.99
Au 0.3333 0.6667 0.8213  3 Se 2.49
Se 0.1507 0.3015 0.7963  1 Au 2.49, 1 U 2.70

18.
A relaxed YTlAuSe2 crystal, computed with PBE.

Output
Formation energy from raw total energies   -0.813 eV per atom
DFT total energy   -4.63 eV per atom
ρ   7.26 Mg/m³

Cell: 7.5361 5.2134 7.7347 Å, 90.00 102.60 90.00°
With the nearest neighbours (Å) after each atom.
Space group P2/c (No. 13)
One atom of each set of equivalent atoms:
Y 0.0000 0.0044 0.2500  4 Se 2.82-2.83
Tl 0.5000 0.3236 0.7500  6 Se 3.31-3.41
Au 0.0000 0.5000 0.0000  2 Se 2.57
Se 0.2553 0.1637 0.0524  1 Au 2.57, 2 Y 2.82-2.83

19.
A relaxed YTl2AuSe crystal, computed with PBE.

Output
Formation energy from raw total energies   0.072 eV per atom
DFT total energy   -3.52 eV per atom
ρ   7.13 Mg/m³

Cell: 5.8350 5.8350 5.2942 Å, 90.00 90.00 90.00°
With the nearest neighbours (Å) after each atom.
Space group P4/mmm (No. 123)
One atom of each set of equivalent atoms:
Y 0.0000 0.0000 0.0000  2 Se 2.65
Tl 0.0000 0.5000 0.5000  2 Se 2.92
Au 0.5000 0.5000 0.0000  8 Tl 3.94, 4 Y 4.13
Se 0.0000 0.0000 0.5000  2 Y 2.65, 4 Tl 2.92

20.
A relaxed ZrTl2AuSe4 crystal, computed with PBE.

Output
Formation energy from raw total energies   -0.616 eV per atom
DFT total energy   -4.43 eV per atom
ρ   7.51 Mg/m³

Cell: 7.6362 3.8888 8.1586 Å, 90.00 112.45 90.00°
With the nearest neighbours (Å) after each atom.
Space group P2/m (No. 10)
One atom of each set of equivalent atoms:
Zr 0.0000 0.0000 0.0000  6 Se 2.69-2.84
Tl 0.0000 0.5000 0.5000  6 Se 3.15-3.37
Tl 0.5000 0.0000 0.5000  4 Se 3.21
Au 0.5000 0.5000 0.0000  4 Se 2.61
Se 0.1952 0.5000 0.2229  2 Zr 2.69
Se 0.2708 0.0000 0.8386  2 Au 2.61, 1 Zr 2.84

21.
A relaxed ZrTlAuSe3 crystal, computed with PBE.

Output
Formation energy from raw total energies   -0.784 eV per atom
DFT total energy   -4.89 eV per atom
ρ   7.72 Mg/m³

Cell: 8.3311 3.9377 10.2412 Å, 90.00 110.95 90.00°
With the nearest neighbours (Å) after each atom.
Space group P2_1/m (No. 11)
One atom of each set of equivalent atoms:
Zr 0.1950 0.2500 0.1675  6 Se 2.67-2.81
Tl 0.2398 0.7500 0.7096  7 Se 3.33-3.61
Au 0.4295 0.7500 0.3880  4 Se 2.56-2.80
Se 0.0513 0.2500 0.8738  3 Zr 2.76-2.81
Se 0.2243 0.2500 0.4360  1 Zr 2.67, 3 Au 2.76-2.80
Se 0.4058 0.7500 0.1315  1 Au 2.56, 2 Zr 2.75

22.
A relaxed TmAuSe crystal, computed with PBE.

Output
Formation energy from raw total energies   -1.143 eV per atom
DFT total energy   -4.89 eV per atom
ρ   9.84 Mg/m³

Cell: 4.0273 5.3626 6.9537 Å, 90.00 90.00 90.00°
With the nearest neighbours (Å) after each atom.
Space group Pmmn (No. 59, origin choice 2)
One atom of each set of equivalent atoms:
Tm 0.2500 0.2500 0.2012  4 Se 2.79-2.85, 2 Au 2.90
Au 0.2500 0.7500 0.4985  1 Se 2.85, 2 Tm 2.90
Se 0.2500 0.7500 0.0891  4 Tm 2.79-2.85, 1 Au 2.85

23.
A relaxed Tm6AuSe4 crystal, computed with PBE.

Output
Formation energy from raw total energies   -1.400 eV per atom
DFT total energy   -5.40 eV per atom
ρ   9.53 Mg/m³

Cell: 3.9781 13.0618 20.4824 Å, 90.00 90.00 90.00°
With the nearest neighbours (Å) after each atom.
Space group Cmcm (No. 63)
One atom of each set of equivalent atoms:
Tm 0.0000 0.0000 0.0000  6 Se 2.77-2.83
Tm 0.0000 0.1710 0.2500  2 Se 2.82, 2 Au 2.92
Tm 0.0000 0.2692 0.5971  5 Se 2.82-2.97
Tm 0.0000 0.4419 0.1675  3 Se 2.86-2.90, 2 Au 2.96
Au 0.0000 0.1653 0.7500  6 Tm 2.92-2.96
Se 0.0000 0.0842 0.1240  6 Tm 2.77-2.86
Se 0.0000 0.3571 0.0366  6 Tm 2.83-2.97